Entry 1:
# Sm5Zr

A relaxed structure of Sm5Zr (PBE, the Alexandria database).

The structure in CIF format:
```
data_Sm5Zr
_cell_length_a 4.991
_cell_length_b 15.084
_cell_length_c 5.017
_cell_angle_alpha 90.00
_cell_angle_beta 90.00
_cell_angle_gamma 90.00
_space_group_name_H-M_alt 'C m m m'
_space_group_IT_number 65
_space_group_name_Hall '-C 2 2'
loop_
_atom_site_label
_atom_site_type_symbol
_atom_site_fract_x
_atom_site_fract_y
_atom_site_fract_z
Sm1 Sm 0.000 0.000 0.000
Sm2 Sm 0.000 0.160 0.500
Sm3 Sm 0.000 0.339 0.000
Zr1 Zr 0.000 0.500 0.500
```

## Properties
DFT formation energy	82	meV/atom
theoretical density	7.41	g cm⁻³
electronic total energy	-63.3	eV for the cell shown
calculated volume	377.7	Å³/cell

=====

Entry 2:
# CoAuCl

A relaxed structure of CoAuCl (PBE, the Alexandria database).

The structure in CIF format:
```
data_CoAuCl
_cell_length_a 12.907
_cell_length_b 3.106
_cell_length_c 5.928
_cell_angle_alpha 90.00
_cell_angle_beta 109.96
_cell_angle_gamma 90.00
_space_group_name_H-M_alt 'C 1 2/m 1'
_space_group_IT_number 12
loop_
_space_group_symop_operation_xyz
'x,y,z'
'-x,-y,-z'
'-x,y,-z'
'x,-y,z'
'x+1/2,y+1/2,z'
'-x+1/2,-y+1/2,-z'
'-x+1/2,y+1/2,-z'
'x+1/2,-y+1/2,z'
loop_
_atom_site_label
_atom_site_type_symbol
_atom_site_fract_x
_atom_site_fract_y
_atom_site_fract_z
Co1 Co 0.000 0.000 0.000
Co2 Co 0.000 0.500 0.500
Au1 Au 0.155 0.000 0.441
Cl1 Cl 0.095 0.500 0.887
```

## Properties
excess energy over the best structure of this formula in the dataset	0.1375	eV/atom
theoretical density	8.66	g cm⁻³
electronic total energy	-48.1	eV for the cell shown
formation energy without anion corrections	6.64	kJ/mol of atoms
calculated volume	223.4	Å³/cell

=====

Entry 3:
# HfTi4Sb4

A relaxed structure of HfTi4Sb4 (PBE, the Alexandria database).

The structure in CIF format:
```
data_HfTi4Sb4
_cell_length_a 9.094
_cell_length_b 9.094
_cell_length_c 5.344
_cell_angle_alpha 90.00
_cell_angle_beta 90.00
_cell_angle_gamma 90.00
_space_group_name_H-M_alt 'I 4/m'
_space_group_IT_number 87
_space_group_name_Hall '-I 4'
loop_
_atom_site_label
_atom_site_type_symbol
_atom_site_fract_x
_atom_site_fract_y
_atom_site_fract_z
Hf1 Hf 0.000 0.000 0.000
Ti1 Ti 0.090 0.383 0.500
Sb1 Sb 0.150 0.281 0.000
```

## Properties
theoretical density	6.44	g cm⁻³
electronic total energy	-117.7	eV for the cell shown
formation energy without anion corrections	-8.79	kJ/mol of atoms
calculated volume	442.0	Å³/cell

=====

Entry 4:
# In2MoIr

A relaxed structure of In2MoIr (PBE, the Alexandria database).

The structure in CIF format:
```
data_In2MoIr
_cell_length_a 3.0355
_cell_length_b 3.0355
_cell_length_c 27.2089
_cell_angle_alpha 90.00
_cell_angle_beta 90.00
_cell_angle_gamma 120.00
_space_group_name_H-M_alt 'R -3 m'
_space_group_IT_number 166
_space_group_name_Hall '-R 3 2"'
loop_
_atom_site_label
_atom_site_type_symbol
_atom_site_fract_x
_atom_site_fract_y
_atom_site_fract_z
In1 In 0.0000 0.0000 0.2468
Mo1 Mo 0.0000 0.0000 0.0000
Ir1 Ir 0.0000 0.0000 0.5000
```

## Properties
excess energy over the best structure of this formula in the dataset	0.3115	eV/atom
DFT formation energy	308	meV/atom
theoretical density	11.88	g cm⁻³
electronic total energy	-71.8	eV for the cell shown
calculated volume	217.1	Å³/cell

=====

Entry 5:
# ScIrWI2

A relaxed structure of ScIrWI2 (PBE, the Alexandria database).

The structure in CIF format:
```
data_ScIrWI2
_cell_length_a 5.360
_cell_length_b 5.360
_cell_length_c 5.399
_cell_angle_alpha 90.00
_cell_angle_beta 90.00
_cell_angle_gamma 90.00
_space_group_name_H-M_alt 'P 4/m m m'
_space_group_IT_number 123
_space_group_name_Hall '-P 4 2'
loop_
_atom_site_label
_atom_site_type_symbol
_atom_site_fract_x
_atom_site_fract_y
_atom_site_fract_z
Sc1 Sc 0.000 0.000 0.000
Ir1 Ir 0.500 0.500 0.500
W1 W 0.000 0.000 0.500
I1 I 0.000 0.500 0.000
```

## Properties
theoretical density	7.22	g cm⁻³
electronic total energy	-21.6	eV for the cell shown
formation energy without anion corrections	185.78	kJ/mol of atoms
calculated volume	155.1	Å³/cell

=====

Entry 6:
# LiCdIn2Au

A relaxed structure of LiCdIn2Au (PBE, the Alexandria database).

The structure in CIF format:
```
data_LiCdIn2Au
_cell_length_a 5.476
_cell_length_b 5.476
_cell_length_c 5.292
_cell_angle_alpha 90.00
_cell_angle_beta 90.00
_cell_angle_gamma 90.00
_space_group_name_H-M_alt 'P 4/m m m'
_space_group_IT_number 123
_space_group_name_Hall '-P 4 2'
loop_
_atom_site_label
_atom_site_type_symbol
_atom_site_fract_x
_atom_site_fract_y
_atom_site_fract_z
Li1 Li 0.000 0.000 0.000
Cd1 Cd 0.500 0.500 0.500
In1 In 0.000 0.500 0.500
Au1 Au 0.500 0.500 0.000
```

## Properties
DFT formation energy	308	meV/atom
theoretical density	5.71	g cm⁻³
electronic total energy	-10.0	eV for the cell shown
calculated volume	158.7	Å³/cell

=====

Entry 7:
# ScPOsS2

A relaxed structure of ScPOsS2 (PBE, the Alexandria database).

The structure in CIF format:
```
data_ScPOsS2
_cell_length_a 4.837
_cell_length_b 4.837
_cell_length_c 4.345
_cell_angle_alpha 90.00
_cell_angle_beta 90.00
_cell_angle_gamma 90.00
_space_group_name_H-M_alt 'P 4/m m m'
_space_group_IT_number 123
_space_group_name_Hall '-P 4 2'
loop_
_atom_site_label
_atom_site_type_symbol
_atom_site_fract_x
_atom_site_fract_y
_atom_site_fract_z
Sc1 Sc 0.000 0.000 0.000
P1 P 0.500 0.500 0.000
Os1 Os 0.500 0.500 0.500
S1 S 0.000 0.500 0.500
```

## Properties
excess energy over the best structure of this formula in the dataset	0.0000	eV/atom
theoretical density	5.39	g cm⁻³
electronic total energy	-30.7	eV for the cell shown
formation energy without anion corrections	10.96	kJ/mol of atoms
calculated volume	101.7	Å³/cell

=====

Entry 8:
# K2LiF

A relaxed structure of K2LiF (PBE, the Alexandria database).

The structure in CIF format:
```
data_K2LiF
_cell_length_a 7.943
_cell_length_b 7.943
_cell_length_c 10.350
_cell_angle_alpha 90.00
_cell_angle_beta 90.00
_cell_angle_gamma 90.00
_space_group_name_H-M_alt 'I -4 2 d'
_space_group_IT_number 122
_space_group_name_Hall 'I -4 2bw'
loop_
_atom_site_label
_atom_site_type_symbol
_atom_site_fract_x
_atom_site_fract_y
_atom_site_fract_z
K1 K 0.108 0.750 0.125
Li1 Li 0.000 0.000 0.500
F1 F 0.000 0.000 0.000
```

## Properties
excess energy over the best structure of this formula in the dataset	0.0000	eV/atom
theoretical density	1.06	g cm⁻³
electronic total energy	-42.7	eV for the cell shown
formation energy without anion corrections	-113.04	kJ/mol of atoms
calculated volume	653.0	Å³/cell

=====

Entry 9:
# LaMn2Bi2

A relaxed structure of LaMn2Bi2 (PBE, the Alexandria database).

The structure in CIF format:
```
data_LaMn2Bi2
_cell_length_a 4.306
_cell_length_b 4.306
_cell_length_c 13.904
_cell_angle_alpha 90.00
_cell_angle_beta 90.00
_cell_angle_gamma 90.00
_space_group_name_H-M_alt 'I 4/m m m'
_space_group_IT_number 139
_space_group_name_Hall '-I 4 2'
loop_
_atom_site_label
_atom_site_type_symbol
_atom_site_fract_x
_atom_site_fract_y
_atom_site_fract_z
La1 La 0.000 0.000 0.000
Mn1 Mn 0.000 0.500 0.250
Bi1 Bi 0.000 0.000 0.380
```

## Properties
DFT formation energy	-88	meV/atom
theoretical density	8.59	g cm⁻³
electronic total energy	-62.9	eV for the cell shown
calculated volume	257.9	Å³/cell

=====

Entry 10:
# Sc5TeAs4

A relaxed structure of Sc5TeAs4 (PBE, the Alexandria database).

The structure in CIF format:
```
data_Sc5TeAs4
_cell_length_a 3.923
_cell_length_b 5.585
_cell_length_c 19.716
_cell_angle_alpha 90.00
_cell_angle_beta 90.00
_cell_angle_gamma 90.00
_space_group_name_H-M_alt 'I m m m'
_space_group_IT_number 71
_space_group_name_Hall '-I 2 2'
loop_
_atom_site_label
_atom_site_type_symbol
_atom_site_fract_x
_atom_site_fract_y
_atom_site_fract_z
Sc1 Sc 0.000 0.000 0.000
Sc2 Sc 0.000 0.000 0.198
Sc3 Sc 0.000 0.000 0.387
Te1 Te 0.000 0.500 0.000
As1 As 0.000 0.500 0.204
As2 As 0.000 0.500 0.400
```

## Properties
theoretical density	5.01	g cm⁻³
electronic total energy	-133.7	eV for the cell shown
formation energy without anion corrections	-129.58	kJ/mol of atoms
calculated volume	432.0	Å³/cell

=====

Entry 11:
# CaV2Os

A relaxed structure of CaV2Os (PBE, the Alexandria database).

The structure in CIF format:
```
data_CaV2Os
_cell_length_a 4.2555
_cell_length_b 4.2555
_cell_length_c 10.6896
_cell_angle_alpha 90.00
_cell_angle_beta 90.00
_cell_angle_gamma 120.00
_space_group_name_H-M_alt 'P -3 m 1'
_space_group_IT_number 164
_space_group_name_Hall '-P 3 2"'
loop_
_atom_site_label
_atom_site_type_symbol
_atom_site_fract_x
_atom_site_fract_y
_atom_site_fract_z
Ca1 Ca 0.3333 0.6667 0.3503
V1 V 0.0000 0.0000 0.1297
V2 V 0.3333 0.6667 0.0450
Os1 Os 0.3333 0.6667 0.8219
```

## Properties
excess energy over the best structure of this formula in the dataset	0.0279	eV/atom
DFT formation energy	32	meV/atom
theoretical density	6.58	g cm⁻³
electronic total energy	-62.7	eV for the cell shown
calculated volume	167.6	Å³/cell

=====

- electronic total energy of number 6 (LiCdIn2Au)?
  -10.0 eV for the cell shown

=====

Copy entry 3 word for word.
# HfTi4Sb4

A relaxed structure of HfTi4Sb4 (PBE, the Alexandria database).

The structure in CIF format:
```
data_HfTi4Sb4
_cell_length_a 9.094
_cell_length_b 9.094
_cell_length_c 5.344
_cell_angle_alpha 90.00
_cell_angle_beta 90.00
_cell_angle_gamma 90.00
_space_group_name_H-M_alt 'I 4/m'
_space_group_IT_number 87
_space_group_name_Hall '-I 4'
loop_
_atom_site_label
_atom_site_type_symbol
_atom_site_fract_x
_atom_site_fract_y
_atom_site_fract_z
Hf1 Hf 0.000 0.000 0.000
Ti1 Ti 0.090 0.383 0.500
Sb1 Sb 0.150 0.281 0.000
```

## Properties
theoretical density	6.44	g cm⁻³
electronic total energy	-117.7	eV for the cell shown
formation energy without anion corrections	-8.79	kJ/mol of atoms
calculated volume	442.0	Å³/cell

=====

- The lowest electronic total energy belongs to which entry?
  Sc5TeAs4